LiLaNi2: optimized geometry, GGA-PBE.

Lattice parameters (Å, degrees): 4.5669 4.5669 4.5669 60.00 60.00 60.00
Last column: nearest neighbours and their distance in Å.
Fractional coordinates of all 4 atoms:
Li  0.0000  0.0000  0.0000  4 La 2.80, 4 Ni 2.80
La  0.7500  0.7500  0.7500  4 Li 2.80, 4 Ni 2.80
Ni  0.2500  0.2500  0.2500  4 Li 2.80, 4 Ni 2.80
Ni  0.5000  0.5000  0.5000  4 La 2.80, 4 Ni 2.80

- formation energy (eV/atom) = 0.001
- mass density (g cm⁻³) = 6.5
- total DFT energy (no corrections) (eV for the cell shown) = -18.4
- volume (Å³/f.u.) = 67
- E above lowest polymorph (eV/f.u.) = 0.613